{"formula": "Ba2Ag2PbO6", "functional": "GGA-PBE", "state": "relaxed", "formation_energy_uncorrected_ev_per_fu": -12.15, "cell": [[-4.290, 2.531, -4.005], [0.911, -0.379, -6.315], [-3.975, -4.287, -3.551]], "species": ["Ba", "Ba", "Ag", "Ag", "Pb", "O", "O", "O", "O", "O", "O"], "fractional_positions": [[0.786, 0.786, 0.641], [0.214, 0.214, 0.359], [0.415, 0.415, 0.756], [0.585, 0.585, 0.244], [0.000, 0.000, 0.000], [0.767, 0.767, 0.263], [0.203, 0.767, 0.263], [0.767, 0.203, 0.263], [0.233, 0.797, 0.737], [0.797, 0.233, 0.737], [0.233, 0.233, 0.737]]}

---

{"formula": "NaAgW2", "functional": "GGA-PBE", "state": "relaxed", "de_polymorph_mev_per_atom": 0.0, "formation_energy_ev_per_atom": 1.66, "cell": [[0.000, 3.234, 3.234], [3.234, 0.000, 3.234], [3.234, 3.234, 0.000]], "species": ["Na", "Ag", "W", "W"], "fractional_positions": [[0.000, 0.000, 0.000], [0.500, 0.500, 0.500], [0.250, 0.250, 0.250], [0.750, 0.750, 0.750]]}

---

{"formula": "CoSi2Ag", "functional": "GGA-PBE", "state": "relaxed", "formation_energy_uncorrected_ev_per_fu": 0.91, "de_polymorph_mev_per_atom": 271.2, "cell": [[-1.548, 1.045, 3.460], [-0.998, -2.599, 0.338], [4.597, -1.049, 2.373]], "species": ["Ag", "Co", "Si", "Si"], "fractional_positions": [[0.500, 0.250, 0.250], [0.500, 0.750, 0.750], [0.000, 0.043, 0.948], [0.000, 0.457, 0.552]]}

---

{"formula": "TaCoNi2", "functional": "GGA-PBE", "state": "relaxed", "de_polymorph_mev_per_atom": 174.1, "formation_energy_ev_per_atom": -0.16, "cell": [[-2.841, -2.241, 1.988], [-1.407, -3.502, -1.672], [1.030, -3.638, 1.657]], "species": ["Co", "Ni", "Ni", "Ta"], "fractional_positions": [[0.500, 0.500, 0.500], [0.000, 0.000, 0.000], [0.250, 0.250, 0.250], [0.750, 0.750, 0.750]]}

---

Number 1: magnetic moment 2.0 μB per formula unit. Number 2: magnetic moment 0.0 μB per formula unit. Number 3: magnetic moment 0.0 μB per formula unit. Number 4: magnetic moment 0.0 μB per formula unit.